Record 1
! PBE Cs2CuSI, optimized geometry; values from VASP
&SYSTEM
  ibrav = 0, nat = 5, ntyp = 4
/
ATOMIC_SPECIES
Cs 132.91 Cs.upf
Cu 63.55 Cu.upf
S 32.06 S.upf
I 126.90 I.upf
ATOMIC_POSITIONS angstrom
Cs 0.0000 3.4841 0.0000
Cs 3.4841 0.0000 0.0000
Cu 0.0000 0.0000 2.1437
S 0.0000 0.0000 0.0000
I 3.4841 3.4841 2.1437
CELL_PARAMETERS angstrom
6.9682 0.0000 0.0000
0.0000 6.9682 0.0000
0.0000 0.0000 4.2874
! Total magnetization, μB/atom: 0.000
! Raw formation energy, meV/atom: -961

***

Record 2
! PBE Cs2CuSI6, optimized geometry; values from VASP
&SYSTEM
  ibrav = 0, nat = 10, ntyp = 4
/
ATOMIC_SPECIES
Cs 132.91 Cs.upf
Cu 63.55 Cu.upf
S 32.06 S.upf
I 126.90 I.upf
ATOMIC_POSITIONS angstrom
Cs 4.0805 0.0000 3.0369
Cs 0.0000 4.0805 3.0369
Cu 0.0000 0.0000 0.0000
S 0.0000 0.0000 6.0738
I 0.0000 0.0000 2.5301
I 2.1406 2.1406 0.0000
I 1.9399 -1.9399 6.0738
I -1.9399 1.9399 6.0738
I 1.9399 1.9399 6.0738
I 0.0000 0.0000 9.6176
CELL_PARAMETERS angstrom
-4.0805 4.0805 6.0738
4.0805 -4.0805 6.0738
4.0805 4.0805 -6.0738
! Total magnetization, μB/atom: 0.001
! Raw formation energy, meV/atom: -572

***

Record 3
! PBE CsCuSbI6, optimized geometry; values from VASP
&SYSTEM
  ibrav = 0, nat = 9, ntyp = 4
/
ATOMIC_SPECIES
Cs 132.91 Cs.upf
Cu 63.55 Cu.upf
Sb 121.76 Sb.upf
I 126.90 I.upf
ATOMIC_POSITIONS angstrom
Cs 0.0000 0.0000 0.0000
Cu 4.8256 1.8405 3.2784
Sb 1.1224 3.7847 3.9866
I -1.2015 3.7226 1.9119
I -0.4076 1.2502 4.6989
I 0.1191 5.3123 6.2491
I 2.7458 2.3409 1.6649
I 2.2697 6.3270 2.6529
I 3.5205 2.7947 5.5062
CELL_PARAMETERS angstrom
7.4596 0.0000 0.0000
-2.3659 7.1313 0.0000
-1.3150 -1.1986 7.9466
! Total magnetization, μB/atom: 0.094
! Raw formation energy, meV/atom: -494